# 1
Density functional theory data (PBE) for an optimized crystal structure of LiAcInHg2.

## Properties
**M_tot**: 0.00 Bohr magnetons per cell
**Calculated total energy**: -11.26 eV per cell

The structure in POSCAR format:
```
LiAcInHg2
1.0
4.581 0.000 0.000
0.000 4.581 0.000
-2.290 -2.290 6.343
Li Ac In Hg
1 1 1 2
Cartesian
0.000 2.290 3.172
0.000 0.000 0.000
2.290 0.000 3.172
2.290 2.290 1.456
0.000 0.000 4.888
```



# 2
Density functional theory data (PBE) for an optimized crystal structure of LiAcIn2Hg5.

## Properties
**M_tot**: 0.00 Bohr magnetons per cell
**Calculated total energy**: -14.39 eV per cell

The structure in POSCAR format:
```
LiAcIn2Hg5
1.0
-0.168 -4.822 -0.867
3.872 -1.123 5.493
-7.996 2.427 1.907
Li Ac In Hg
1 1 2 5
Cartesian
-0.084 -2.411 -0.434
1.936 -0.562 2.746
-2.380 -0.211 1.634
-1.913 -3.306 4.898
1.090 -3.381 4.730
-5.383 -0.137 1.803
-3.583 -0.659 4.355
-0.709 -2.859 2.178
0.000 0.000 0.000
```



# 3
Density functional theory data (PBE) for an optimized crystal structure of AcMgIn2Hg4.

## Properties
**M_tot**: 0.00 Bohr magnetons per cell
**Calculated total energy**: -14.46 eV per cell

The structure in POSCAR format:
```
AcMgIn2Hg4
1.0
5.152 0.000 0.000
2.576 4.461 0.000
2.576 1.487 9.032
Ac Mg In Hg
1 1 2 4
Cartesian
0.000 0.000 0.000
5.152 2.974 4.516
7.727 4.461 6.772
2.576 1.487 2.260
5.152 2.974 7.506
7.727 4.461 3.634
2.576 1.487 5.398
5.152 2.974 1.526
```



# 4
Density functional theory data (PBE) for an optimized crystal structure of AcMg2In2Hg2.

## Properties
**M_tot**: 0.00 Bohr magnetons per cell
**Calculated total energy**: -15.20 eV per cell

The structure in POSCAR format:
```
AcMg2In2Hg2
1.0
4.920 0.000 0.000
2.460 4.261 0.000
2.460 1.420 8.799
Ac Mg In Hg
1 2 2 2
Cartesian
0.000 0.000 0.000
2.460 1.420 5.119
7.380 4.261 3.680
7.380 4.261 6.801
2.460 1.420 1.998
4.920 2.840 2.582
4.920 2.840 6.217
```



# 5
Density functional theory data (PBE) for an optimized crystal structure of Ac2MgIn4Hg3.

## Properties
**M_tot**: 0.00 Bohr magnetons per cell
**Calculated total energy**: -25.09 eV per cell

The structure in POSCAR format:
```
Ac2MgIn4Hg3
1.0
-4.695 -0.780 0.407
0.847 -3.408 3.237
-0.608 8.309 8.908
Ac Mg In Hg
2 1 4 3
Cartesian
-2.499 1.677 2.420
-0.033 4.538 8.310
-2.228 2.060 6.276
-1.924 -2.094 1.822
0.000 0.000 0.000
-2.733 4.883 5.857
0.202 1.332 4.873
-0.304 4.154 4.454
-2.871 6.759 7.868
0.339 -0.545 2.862
```



# 6
Density functional theory data (PBE) for an optimized crystal structure of Ac2Mg3In4Hg.

## Properties
**M_tot**: 0.00 Bohr magnetons per cell
**Calculated total energy**: -27.46 eV per cell

The structure in POSCAR format:
```
Ac2Mg3In4Hg
1.0
-1.639 3.181 -3.165
-4.485 -1.057 1.260
0.352 8.635 8.497
Ac Mg In Hg
2 3 4 1
Cartesian
-0.731 3.760 0.552
-1.979 5.937 6.992
0.176 4.318 4.248
-0.515 9.057 5.764
-2.195 0.641 1.780
-3.062 1.062 -0.953
0.000 0.000 0.000
-0.595 7.106 3.844
-2.116 2.591 3.700
-2.886 5.380 3.296
```



# 7
Density functional theory data (PBE) for an optimized crystal structure of AcMgIn2Hg5.

## Properties
**M_tot**: 0.00 Bohr magnetons per cell
**Calculated total energy**: -13.37 eV per cell

The structure in POSCAR format:
```
AcMgIn2Hg5
1.0
-0.217 -3.960 3.281
6.536 -1.086 -0.878
-1.593 7.253 4.611
Ac Mg In Hg
1 1 2 5
Cartesian
3.268 -0.543 -0.439
-0.109 -1.980 1.640
0.595 1.796 2.207
4.131 0.412 4.807
5.102 -1.424 2.656
-0.376 3.632 4.358
2.616 3.135 3.956
2.109 -0.927 3.058
0.000 0.000 0.000
```



# 8
Density functional theory data (PBE) for an optimized crystal structure of AcMg2InHg4.

## Properties
**M_tot**: 0.00 Bohr magnetons per cell
**Calculated total energy**: -13.51 eV per cell

The structure in POSCAR format:
```
AcMg2InHg4
1.0
4.931 0.000 0.000
2.465 4.270 0.000
2.465 1.423 9.839
Ac Mg In Hg
1 2 1 4
Cartesian
0.000 0.000 0.000
7.396 4.270 7.037
2.465 1.423 2.801
4.931 2.847 4.919
4.931 2.847 8.096
7.396 4.270 3.613
2.465 1.423 6.226
4.931 2.847 1.742
```



The highest calculated total energy belongs to which entry? LiAcInHg2